First-principles (GGA+U) data for a geometry-optimized Tl2MoWO6 structure, as listed in Alexandria via LeMat-Bulk.

As for the calculated total energy: -6.32 eV per atom. For the total moment, the calculation gives 2.00 μB/f.u. Its volume is 913.96 Å³ per cell. For the calculated density, the calculation gives 8.55 g/cm3.

abc: 6.0025 6.0025 29.2910
angles: 90.00 90.00 120.00
Space group R-3m (No. 166, hexagonal axes)
Asymmetric unit:
Tl 0.0000 0.0000 0.1296 x6
Tl 0.0000 0.0000 0.2772 x6
Mo 0.0000 0.0000 0.4032 x6
W 0.0000 0.0000 0.0000 x3
W 0.0000 0.0000 0.5000 x3
O 0.0187 0.5094 0.7042 x18
O 0.0483 0.5242 0.1229 x18